No. 1
A crystal of Hf3ZnBi relaxed with PBEsol. Source: Alexandria, functional meta-GGA SCAN.

```
data_Hf3ZnBi
_chemical_formula_sum 'Hf3 Zn1 Bi1'
_cell_length_a 4.892
_cell_length_b 4.892
_cell_length_c 4.892
_cell_angle_alpha 90.00
_cell_angle_beta 90.00
_cell_angle_gamma 90.00
_symmetry_space_group_name_H-M 'P m -3 m'
_symmetry_Int_Tables_number 221
_symmetry_space_group_name_Hall '-P 4 2 3'
loop_
_atom_site_label
_atom_site_type_symbol
_atom_site_fract_x
_atom_site_fract_y
_atom_site_fract_z
Hf1 Hf 0.000 0.000 0.500
Zn1 Zn 0.000 0.000 0.000
Bi1 Bi 0.500 0.500 0.500
```

Results
formation energy = 0.385 eV/atom

=====

No. 2
A crystal of Hf2Zn2Bi relaxed with PBEsol. Source: Alexandria, functional meta-GGA SCAN.

```
data_Hf2Zn2Bi
_chemical_formula_sum 'Hf4 Zn4 Bi2'
_cell_length_a 3.646
_cell_length_b 3.646
_cell_length_c 15.240
_cell_angle_alpha 90.00
_cell_angle_beta 90.00
_cell_angle_gamma 90.00
_symmetry_space_group_name_H-M 'I 4/m m m'
_symmetry_Int_Tables_number 139
_symmetry_space_group_name_Hall '-I 4 2'
loop_
_atom_site_label
_atom_site_type_symbol
_atom_site_fract_x
_atom_site_fract_y
_atom_site_fract_z
Hf1 Hf 0.000 0.000 0.106
Zn1 Zn 0.000 0.500 0.250
Bi1 Bi 0.000 0.000 0.500
```

Results
formation energy = 0.092 eV/atom

=====

No. 3
A crystal of HfZr3Bi relaxed with PBEsol. Source: Alexandria, functional meta-GGA SCAN.

```
data_HfZr3Bi
_chemical_formula_sum 'Hf1 Zr3 Bi1'
_cell_length_a 5.280
_cell_length_b 5.280
_cell_length_c 5.280
_cell_angle_alpha 90.00
_cell_angle_beta 90.00
_cell_angle_gamma 90.00
_symmetry_space_group_name_H-M 'P m -3 m'
_symmetry_Int_Tables_number 221
_symmetry_space_group_name_Hall '-P 4 2 3'
loop_
_atom_site_label
_atom_site_type_symbol
_atom_site_fract_x
_atom_site_fract_y
_atom_site_fract_z
Hf1 Hf 0.000 0.000 0.000
Zr1 Zr 0.000 0.500 0.500
Bi1 Bi 0.500 0.500 0.500
```

Results
formation energy = 1.028 eV/atom

=====

No. 4
A crystal of HgBi3I relaxed with PBEsol. Source: Alexandria, functional meta-GGA SCAN.

```
data_HgBi3I
_chemical_formula_sum 'Hg1 Bi3 I1'
_cell_length_a 5.673
_cell_length_b 5.673
_cell_length_c 5.673
_cell_angle_alpha 90.00
_cell_angle_beta 90.00
_cell_angle_gamma 90.00
_symmetry_space_group_name_H-M 'P m -3 m'
_symmetry_Int_Tables_number 221
_symmetry_space_group_name_Hall '-P 4 2 3'
loop_
_atom_site_label
_atom_site_type_symbol
_atom_site_fract_x
_atom_site_fract_y
_atom_site_fract_z
Hg1 Hg 0.000 0.000 0.000
Bi1 Bi 0.000 0.000 0.500
I1 I 0.500 0.500 0.500
```

Results
total DFT energy (no corrections) = -67.46 eV per atom

=====

No. 5
A crystal of K2HgBiI6 relaxed with PBEsol. Source: Alexandria, functional meta-GGA SCAN.

```
data_K2HgBiI6
_chemical_formula_sum 'K8 Hg4 Bi4 I24'
_cell_length_a 12.116
_cell_length_b 12.116
_cell_length_c 12.116
_cell_angle_alpha 90.00
_cell_angle_beta 90.00
_cell_angle_gamma 90.00
_symmetry_space_group_name_H-M 'F m -3 m'
_symmetry_Int_Tables_number 225
_symmetry_space_group_name_Hall '-F 4 2 3'
loop_
_atom_site_label
_atom_site_type_symbol
_atom_site_fract_x
_atom_site_fract_y
_atom_site_fract_z
K1 K 0.250 0.250 0.250
Hg1 Hg 0.000 0.000 0.000
Bi1 Bi 0.000 0.000 0.500
I1 I 0.000 0.000 0.249
```

Results
total DFT energy (no corrections) = -39.15 eV per atom

=====

No. 6
A crystal of Hg2BiWI relaxed with PBEsol. Source: Alexandria, functional meta-GGA SCAN.

```
data_Hg2BiWI
_chemical_formula_sum 'Hg2 Bi1 W1 I1'
_cell_length_a 5.389
_cell_length_b 5.389
_cell_length_c 5.274
_cell_angle_alpha 90.00
_cell_angle_beta 90.00
_cell_angle_gamma 90.00
_symmetry_space_group_name_H-M 'P 4/m m m'
_symmetry_Int_Tables_number 123
_symmetry_space_group_name_Hall '-P 4 2'
loop_
_atom_site_label
_atom_site_type_symbol
_atom_site_fract_x
_atom_site_fract_y
_atom_site_fract_z
Hg1 Hg 0.000 0.500 0.000
Bi1 Bi 0.000 0.000 0.500
W1 W 0.000 0.000 0.000
I1 I 0.500 0.500 0.500
```

Results
total DFT energy (no corrections) = -63.54 eV per atom

=====

No. 7
A crystal of InHgBi2 relaxed with PBEsol. Source: Alexandria, functional meta-GGA SCAN.

```
data_InHgBi2
_chemical_formula_sum 'In4 Hg4 Bi8'
_cell_length_a 6.738
_cell_length_b 6.738
_cell_length_c 13.017
_cell_angle_alpha 90.00
_cell_angle_beta 90.00
_cell_angle_gamma 90.00
_symmetry_space_group_name_H-M 'I -4 2 d'
_symmetry_Int_Tables_number 122
_symmetry_space_group_name_Hall 'I -4 2bw'
loop_
_atom_site_label
_atom_site_type_symbol
_atom_site_fract_x
_atom_site_fract_y
_atom_site_fract_z
In1 In 0.000 0.000 0.000
Hg1 Hg 0.000 0.000 0.500
Bi1 Bi 0.245 0.250 0.625
```

Results
formation energy = 0.082 eV/atom

=====

No. 8
A crystal of In2Hg2Bi relaxed with PBEsol. Source: Alexandria, functional meta-GGA SCAN.

```
data_In2Hg2Bi
_chemical_formula_sum 'In4 Hg4 Bi2'
_cell_length_a 8.609
_cell_length_b 8.609
_cell_length_c 3.462
_cell_angle_alpha 90.00
_cell_angle_beta 90.00
_cell_angle_gamma 90.00
_symmetry_space_group_name_H-M 'P 4/m b m'
_symmetry_Int_Tables_number 127
_symmetry_space_group_name_Hall '-P 4 2ab'
loop_
_atom_site_label
_atom_site_type_symbol
_atom_site_fract_x
_atom_site_fract_y
_atom_site_fract_z
In1 In 0.138 0.362 0.000
Hg1 Hg 0.161 0.661 0.500
Bi1 Bi 0.000 0.000 0.500
```

Results
relative energy among the computed polymorphs = 0.000 eV/atom
formation energy = 0.072 eV/atom

=====

No. 9
A crystal of InHg2Bi relaxed with PBEsol. Source: Alexandria, functional meta-GGA SCAN.

```
data_InHg2Bi
_chemical_formula_sum 'In4 Hg8 Bi4'
_cell_length_a 8.267
_cell_length_b 8.267
_cell_length_c 6.210
_cell_angle_alpha 90.00
_cell_angle_beta 90.00
_cell_angle_gamma 90.00
_symmetry_space_group_name_H-M 'I -4 2 d'
_symmetry_Int_Tables_number 122
_symmetry_space_group_name_Hall 'I -4 2bw'
loop_
_atom_site_label
_atom_site_type_symbol
_atom_site_fract_x
_atom_site_fract_y
_atom_site_fract_z
In1 In 0.000 0.000 0.000
Hg1 Hg 0.241 0.250 0.125
Bi1 Bi 0.000 0.000 0.500
```

Results
formation energy = 0.070 eV/atom

=====

No. 10
A crystal of In2Hg2Bi relaxed with PBEsol. Source: Alexandria, functional meta-GGA SCAN.

```
data_In2Hg2Bi
_chemical_formula_sum 'In4 Hg4 Bi2'
_cell_length_a 4.197
_cell_length_b 4.197
_cell_length_c 15.207
_cell_angle_alpha 90.00
_cell_angle_beta 90.00
_cell_angle_gamma 90.00
_symmetry_space_group_name_H-M 'I 4/m m m'
_symmetry_Int_Tables_number 139
_symmetry_space_group_name_Hall '-I 4 2'
loop_
_atom_site_label
_atom_site_type_symbol
_atom_site_fract_x
_atom_site_fract_y
_atom_site_fract_z
In1 In 0.000 0.000 0.099
Hg1 Hg 0.000 0.500 0.250
Bi1 Bi 0.000 0.000 0.500
```

Results
relative energy among the computed polymorphs = 0.016 eV/atom
formation energy = 0.089 eV/atom

=====

No. 11
A crystal of In2HgBi relaxed with PBEsol. Source: Alexandria, functional meta-GGA SCAN.

```
data_In2HgBi
_chemical_formula_sum 'In8 Hg4 Bi4'
_cell_length_a 8.293
_cell_length_b 8.293
_cell_length_c 6.289
_cell_angle_alpha 90.00
_cell_angle_beta 90.00
_cell_angle_gamma 90.00
_symmetry_space_group_name_H-M 'I -4 2 d'
_symmetry_Int_Tables_number 122
_symmetry_space_group_name_Hall 'I -4 2bw'
loop_
_atom_site_label
_atom_site_type_symbol
_atom_site_fract_x
_atom_site_fract_y
_atom_site_fract_z
In1 In 0.240 0.750 0.125
Hg1 Hg 0.000 0.000 0.000
Bi1 Bi 0.000 0.000 0.500
```

Results
relative energy among the computed polymorphs = 0.030 eV/atom
formation energy = 0.049 eV/atom

=====

No. 12
A crystal of In3HgBi relaxed with PBEsol. Source: Alexandria, functional meta-GGA SCAN.

```
data_In3HgBi
_chemical_formula_sum 'In3 Hg1 Bi1'
_cell_length_a 5.392
_cell_length_b 5.392
_cell_length_c 5.392
_cell_angle_alpha 90.00
_cell_angle_beta 90.00
_cell_angle_gamma 90.00
_symmetry_space_group_name_H-M 'P m -3 m'
_symmetry_Int_Tables_number 221
_symmetry_space_group_name_Hall '-P 4 2 3'
loop_
_atom_site_label
_atom_site_type_symbol
_atom_site_fract_x
_atom_site_fract_y
_atom_site_fract_z
In1 In 0.000 0.000 0.500
Hg1 Hg 0.000 0.000 0.000
Bi1 Bi 0.500 0.500 0.500
```

Results
formation energy = 0.320 eV/atom